DFT (PBE-GGA) results for a relaxed structure of ZnSe2N.

abc: 8.571 8.571 8.571
angles: 20.59 20.59 20.59
Fractional positions:
Zn  0.000  0.000  0.000
Se  0.893  0.893  0.893
Se  0.107  0.107  0.107
N  0.500  0.500  0.500

Calculated values
* density of states at the Fermi level: 2.20 states/eV per cell
* formation energy without anion corrections: 1.064 eV/atom

***

DFT (PBE-GGA) results for a relaxed structure of La2Er6Th3.

abc: 6.090 6.192 12.707
angles: 77.31 63.47 60.54
Fractional positions:
La  0.151  0.698  0.500
La  0.849  0.302  0.500
Er  0.554  0.672  0.754
Er  0.885  0.000  0.762
Er  0.226  0.328  0.754
Er  0.115  0.000  0.238
Er  0.446  0.328  0.246
Er  0.774  0.672  0.246
Th  0.000  0.000  0.000
Th  0.332  0.336  0.000
Th  0.668  0.664  0.000

Calculated values
* density of states at the Fermi level: 15.46 states/eV per cell
* formation energy: 151 meV/atom

***

DFT (PBE-GGA) results for a relaxed structure of NaCd3C4O12.

abc: 6.515 6.515 6.515
angles: 102.31 102.31 102.31
Site moments in Bohr magnetons follow the coordinates.
Fractional positions:
Na  0.000  0.000  0.000  0.00
Cd  0.524  0.476  0.000  0.01
Cd  0.476  0.000  0.524  0.01
Cd  0.000  0.524  0.476  0.01
C  0.972  0.028  0.500  -0.01
C  0.028  0.500  0.972  -0.01
C  0.500  0.972  0.028  -0.01
C  0.500  0.500  0.500  0.00
O  0.500  0.373  0.627  0.04
O  0.900  0.500  0.100  0.09
O  0.100  0.900  0.500  0.09
O  0.500  0.100  0.900  0.09
O  0.385  0.989  0.166  0.08
O  0.166  0.385  0.989  0.08
O  0.989  0.166  0.385  0.08
O  0.615  0.834  0.011  0.08
O  0.011  0.615  0.834  0.08
O  0.834  0.011  0.615  0.08
O  0.627  0.500  0.373  0.04
O  0.373  0.627  0.500  0.04

Calculated values
* density of states at the Fermi level: 7.95 states/eV per cell
* formation energy without anion corrections: -1.337 eV/atom

***

DFT (PBE-GGA) results for a relaxed structure of Pr5In2Sb.

abc: 8.706 8.706 9.091
angles: 118.61 118.61 90.00
Fractional positions:
Pr  0.512  0.684  0.696
Pr  0.816  0.988  0.304
Pr  0.000  0.000  0.000
Pr  0.500  0.500  0.000
Pr  0.184  0.012  0.696
Pr  0.684  0.184  0.696
Pr  0.012  0.512  0.696
Pr  0.316  0.816  0.304
Pr  0.988  0.488  0.304
Pr  0.488  0.316  0.304
In  0.132  0.368  0.000
In  0.632  0.132  0.000
In  0.368  0.868  0.000
In  0.868  0.632  0.000
Sb  0.750  0.750  0.500
Sb  0.250  0.250  0.500

Calculated values
* density of states at the Fermi level: 19.10 states/eV per cell
* formation energy without anion corrections: -0.543 eV/atom

***

| no. | magnetic moment (μB/f.u.) |
| --- | --- |
| 1 | 0.000 |
| 2 | 0.000 |
| 3 | 1.031 |
| 4 | 0.000 |